## a
An optimized crystal structure of RuSe3. Source: Alexandria via LeMat-Bulk, functional PBE-GGA.

Cell lengths 4.6911, 4.6911, 4.6911 Å; angles 122.68, 122.68, 85.42 degrees
With the nearest neighbours (Å) after each atom.
Sites, in units of the cell vectors:
1 Ru 0.0000 0.0000 0.0000  8 Se 2.83
2 Se 0.2500 0.7500 0.5000  4 Se 2.83, 4 Ru 2.83
3 Se 0.5000 0.5000 0.0000  8 Se 2.83
4 Se 0.7500 0.2500 0.5000  4 Se 2.83, 4 Ru 2.83

Values from the calculation:
space group: No. 139
calculated density: 8.04 Mg/m³

=====

## b
An optimized crystal structure of RuSe3. Source: Alexandria via LeMat-Bulk, functional PBE-GGA.

Cell lengths 2.9297, 2.9297, 9.7209 Å; angles 90.00, 90.00, 90.00 degrees
With the nearest neighbours (Å) after each atom.
Sites, in units of the cell vectors:
1 Ru 0.0000 0.0000 0.0000  8 Se 2.63, 4 Ru 2.93
2 Se 0.0000 0.0000 0.5000  4 Se 2.93
3 Se 0.5000 0.5000 0.1672  4 Ru 2.63, 4 Se 2.93
4 Se 0.5000 0.5000 0.8328  4 Ru 2.63, 4 Se 2.93

Values from the calculation:
space group: No. 123
calculated density: 6.73 Mg/m³

=====

## c
An optimized crystal structure of RuSe3. Source: Alexandria via LeMat-Bulk, functional PBE-GGA.

Cell lengths 3.4493, 4.6878, 5.4076 Å; angles 90.00, 90.00, 90.00 degrees
With the nearest neighbours (Å) after each atom.
Sites, in units of the cell vectors:
1 Ru 0.0000 0.0000 0.0000  4 Se 2.41-2.53
2 Se 0.0000 0.5000 0.1747  2 Ru 2.53, 2 Se 2.66
3 Se 0.5000 0.0000 0.3117  2 Ru 2.41
4 Se 0.5000 0.5000 0.7996  2 Se 2.66

Values from the calculation:
space group: No. 25
calculated density: 6.42 Mg/m³

=====

## d
An optimized crystal structure of RuSe3. Source: Alexandria via LeMat-Bulk, functional PBE-GGA.

Cell lengths 4.9988, 4.9988, 3.6802 Å; angles 90.00, 90.00, 120.61 degrees
With the nearest neighbours (Å) after each atom.
Sites, in units of the cell vectors:
1 Ru 0.0000 0.0000 0.0000  6 Se 2.48-2.50
2 Se 0.1950 0.8050 0.5000  2 Ru 2.50, 2 Se 2.65
3 Se 0.5000 0.5000 0.0000  2 Ru 2.48
4 Se 0.8050 0.1950 0.5000  2 Ru 2.50, 2 Se 2.65

Values from the calculation:
space group: No. 65
calculated density: 7.09 Mg/m³

=====

The energetic minimum among the shown structures is d; the next structure lies 19.7 kJ/mol of atoms above.